No. 1
# TiMoAs2

TiMoAs2 after structural relaxation (GGA-PBE, the Alexandria database).

a b c (Å): 3.7651 3.7651 17.0866
angles (deg): 90.00 90.00 120.00
Space group R-3m (No. 166, hexagonal axes)
Asymmetric unit:
Ti 0.0000 0.0000 0.0000 x3
Mo 0.0000 0.0000 0.5000 x3
As 0.0000 0.0000 0.2496 x6

* total moment: 0.333 μB/atom
* calculated volume: 17.48 Å³/atom
* polymorph energy (0 for the lowest one): 0.364 eV per atom



No. 2
# TiMo3As

TiMo3As after structural relaxation (GGA-PBE, the Alexandria database).

a b c (Å): 4.5922 4.5922 4.5922
angles (deg): 90.00 90.00 90.00
Space group Pm-3m (No. 221)
Asymmetric unit:
Ti 0.0000 0.0000 0.0000 x1
Mo 0.0000 0.0000 0.5000 x3
As 0.5000 0.5000 0.5000 x1

* total moment: 0.000 μB/atom
* calculated volume: 19.37 Å³/atom
* polymorph energy (0 for the lowest one): 0.558 eV per atom



No. 3
# Ti2MoAs

Ti2MoAs after structural relaxation (GGA-PBE, the Alexandria database).

a b c (Å): 7.1182 7.1182 5.3361
angles (deg): 90.00 90.00 90.00
Space group I-42d (No. 122)
Asymmetric unit:
Ti 0.2434 0.2500 0.1250 x8
Mo 0.0000 0.0000 0.5000 x4
As 0.0000 0.0000 0.0000 x4

* total moment: 0.000 μB/atom
* calculated volume: 16.90 Å³/atom
* total energy: -123.29 eV/cell



No. 4
# TiMo3As

TiMo3As after structural relaxation (GGA-PBE, the Alexandria database).

a b c (Å): 4.5916 4.5916 4.5916
angles (deg): 90.00 90.00 90.00
Space group Pm-3m (No. 221)
Asymmetric unit:
Ti 0.0000 0.0000 0.0000 x1
Mo 0.0000 0.5000 0.5000 x3
As 0.5000 0.5000 0.5000 x1

* total moment: 0.006 μB/atom
* calculated volume: 19.36 Å³/atom
* polymorph energy (0 for the lowest one): 0.000 eV per atom



No. 5
# TiMoAs2

TiMoAs2 after structural relaxation (GGA-PBE, the Alexandria database).

a b c (Å): 5.7130 5.7130 11.6330
angles (deg): 90.00 90.00 90.00
Space group I-42d (No. 122)
Asymmetric unit:
Ti 0.0000 0.0000 0.0000 x4
Mo 0.0000 0.0000 0.5000 x4
As 0.2446 0.2500 0.6250 x8

* total moment: 0.481 μB/atom
* calculated volume: 23.73 Å³/atom
* polymorph energy (0 for the lowest one): 0.785 eV per atom



No. 6
# Ti2MoAs

Ti2MoAs after structural relaxation (GGA-PBE, the Alexandria database).

a b c (Å): 4.2245 4.2245 3.4825
angles (deg): 90.00 90.00 90.00
Space group P4/mmm (No. 123)
Asymmetric unit:
Ti 0.0000 0.5000 0.0000 x2
Mo 0.0000 0.0000 0.5000 x1
As 0.5000 0.5000 0.5000 x1

* total moment: 0.000 μB/atom
* calculated volume: 15.54 Å³/atom
* total energy: -33.08 eV/cell



No. 7
# TiTlMo2As

TiTlMo2As after structural relaxation (GGA-PBE, the Alexandria database).

a b c (Å): 4.7693 4.7693 4.7366
angles (deg): 90.00 90.00 90.00
Space group P4/mmm (No. 123)
Asymmetric unit:
Ti 0.0000 0.0000 0.0000 x1
Tl 0.5000 0.5000 0.5000 x1
Mo 0.0000 0.5000 0.0000 x2
As 0.0000 0.0000 0.5000 x1

* total moment: 0.476 μB/atom
* calculated volume: 21.55 Å³/atom
* total energy: -30.69 eV/cell



No. 8
# Zr2TiMoAs

Zr2TiMoAs after structural relaxation (GGA-PBE, the Alexandria database).

a b c (Å): 5.0889 5.0889 4.5618
angles (deg): 90.00 90.00 90.00
Space group P4/mmm (No. 123)
Asymmetric unit:
Zr 0.0000 0.5000 0.0000 x2
Ti 0.0000 0.0000 0.5000 x1
Mo 0.0000 0.0000 0.0000 x1
As 0.5000 0.5000 0.5000 x1

* total moment: 0.216 μB/atom
* calculated volume: 23.63 Å³/atom
* total energy: -37.25 eV/cell



No. 9
# TlMo2As

TlMo2As after structural relaxation (GGA-PBE, the Alexandria database).

a b c (Å): 8.5555 3.2181 6.3388
angles (deg): 90.00 101.52 90.00
Space group Cm (No. 8)
Asymmetric unit:
Tl 0.0000 0.0000 0.0000 x2
Mo 0.2674 0.5000 0.2972 x2
Mo 0.4759 0.0000 0.4724 x2
As 0.2228 0.0000 0.6178 x2

* total moment: 0.000 μB/atom
* calculated volume: 21.38 Å³/atom
* polymorph energy (0 for the lowest one): 0.247 eV per atom



No. 10
# TlMoAs2

TlMoAs2 after structural relaxation (GGA-PBE, the Alexandria database).

a b c (Å): 4.1018 4.1018 9.3580
angles (deg): 90.00 90.00 90.00
Space group I-4m2 (No. 119)
Asymmetric unit:
Tl 0.0000 0.0000 0.0000 x2
Mo 0.0000 0.5000 0.2500 x2
As 0.0000 0.0000 0.5000 x2
As 0.0000 0.5000 0.7500 x2

* total moment: 0.374 μB/atom
* calculated volume: 19.68 Å³/atom
* polymorph energy (0 for the lowest one): 0.721 eV per atom



No. 11
# TlMo2As

TlMo2As after structural relaxation (GGA-PBE, the Alexandria database).

a b c (Å): 8.8594 3.2406 5.5616
angles (deg): 90.00 105.36 90.00
Space group C2/m (No. 12)
Asymmetric unit:
Tl 0.0000 0.0000 0.0000 x2
Mo 0.2339 0.0000 0.6708 x4
As 0.0000 0.5000 0.5000 x2

* total moment: 0.000 μB/atom
* calculated volume: 19.25 Å³/atom
* polymorph energy (0 for the lowest one): 0.254 eV per atom



No. 12
# TlMoAs2

TlMoAs2 after structural relaxation (GGA-PBE, the Alexandria database).

a b c (Å): 7.9118 3.2105 7.3387
angles (deg): 90.00 99.76 90.00
Space group C2/m (No. 12)
Asymmetric unit:
Tl 0.0000 0.0000 0.0000 x2
Mo 0.0000 0.5000 0.5000 x2
As 0.2279 0.0000 0.6642 x4

* total moment: 0.000 μB/atom
* calculated volume: 22.96 Å³/atom
* polymorph energy (0 for the lowest one): 0.219 eV per atom



No. 13
# TlMoAs

TlMoAs after structural relaxation (GGA-PBE, the Alexandria database).

a b c (Å): 3.4418 4.9001 16.0648
angles (deg): 90.00 90.00 90.00
Space group Fmm2 (No. 42)
Asymmetric unit:
Tl 0.0000 0.0000 0.0000 x4
Mo 0.0000 0.0000 0.3391 x4
As 0.0000 0.0000 0.7260 x4

* total moment: 0.000 μB/atom
* calculated volume: 22.58 Å³/atom
* polymorph energy (0 for the lowest one): 0.381 eV per atom



No. 14
# TlMo2As

TlMo2As after structural relaxation (GGA-PBE, the Alexandria database).

a b c (Å): 6.6250 6.6250 6.6250
angles (deg): 90.00 90.00 90.00
Space group F-43m (No. 216)
Asymmetric unit:
Tl 0.0000 0.0000 0.0000 x4
Mo 0.0000 0.0000 0.5000 x4
Mo 0.2500 0.2500 0.2500 x4
As 0.2500 0.2500 0.7500 x4

* total moment: 0.000 μB/atom
* calculated volume: 18.17 Å³/atom
* polymorph energy (0 for the lowest one): 0.465 eV per atom



No. 15
# TlMo2As

TlMo2As after structural relaxation (GGA-PBE, the Alexandria database).

a b c (Å): 3.3757 4.7354 10.2354
angles (deg): 90.00 90.00 90.00
Space group Cmm2 (No. 35)
Asymmetric unit:
Tl 0.0000 0.0000 0.0000 x2
Mo 0.0000 0.0000 0.4542 x2
Mo 0.0000 0.5000 0.2584 x2
As 0.0000 0.5000 0.6513 x2

* total moment: 0.000 μB/atom
* calculated volume: 20.45 Å³/atom
* polymorph energy (0 for the lowest one): 0.164 eV per atom



No. 16
# TlMo2As

TlMo2As after structural relaxation (GGA-PBE, the Alexandria database).

a b c (Å): 3.2207 3.9388 6.1907
angles (deg): 90.00 103.31 90.00
Space group P2/m (No. 10)
Asymmetric unit:
Tl 0.0000 0.0000 0.0000 x1
Mo 0.2429 0.5000 0.6824 x2
As 0.5000 0.0000 0.5000 x1

* total moment: 0.000 μB/atom
* calculated volume: 19.11 Å³/atom
* polymorph energy (0 for the lowest one): 0.286 eV per atom



No. 17
# TlMo2As

TlMo2As after structural relaxation (GGA-PBE, the Alexandria database).

a b c (Å): 3.2795 3.2795 6.9143
angles (deg): 90.00 90.00 90.00
Space group P4mm (No. 99)
Asymmetric unit:
Tl 0.0000 0.0000 0.0000 x1
Mo 0.0000 0.0000 0.5094 x1
Mo 0.5000 0.5000 0.7254 x1
As 0.5000 0.5000 0.3290 x1

* total moment: 0.000 μB/atom
* calculated volume: 18.59 Å³/atom
* polymorph energy (0 for the lowest one): 0.000 eV per atom



No. 18
# TlMo2As

TlMo2As after structural relaxation (GGA-PBE, the Alexandria database).

a b c (Å): 3.1835 4.1882 10.9338
angles (deg): 90.00 90.00 90.00
Space group Imm2 (No. 44)
Asymmetric unit:
Tl 0.0000 0.0000 0.0000 x2
Mo 0.0000 0.0000 0.5729 x2
Mo 0.0000 0.5000 0.8160 x2
As 0.0000 0.5000 0.2521 x2

* total moment: 0.000 μB/atom
* calculated volume: 18.22 Å³/atom
* polymorph energy (0 for the lowest one): 0.270 eV per atom



No. 19
# TlMoAs

TlMoAs after structural relaxation (GGA-PBE, the Alexandria database).

a b c (Å): 4.3139 4.3139 3.8262
angles (deg): 90.00 90.00 120.00
Space group P-6m2 (No. 187)
Asymmetric unit:
Tl 0.0000 0.0000 0.0000 x1
Mo 0.3333 0.6667 0.5000 x1
As 0.6667 0.3333 0.5000 x1

* total moment: 0.000 μB/atom
* calculated volume: 20.56 Å³/atom
* polymorph energy (0 for the lowest one): 0.421 eV per atom



No. 20
# TlMo2As

TlMo2As after structural relaxation (GGA-PBE, the Alexandria database).

a b c (Å): 3.3052 4.4632 4.8817
angles (deg): 90.00 90.00 90.00
Space group Pmmm (No. 47)
Asymmetric unit:
Tl 0.0000 0.0000 0.0000 x1
Mo 0.0000 0.5000 0.5000 x1
Mo 0.5000 0.5000 0.0000 x1
As 0.5000 0.0000 0.5000 x1

* total moment: 0.000 μB/atom
* calculated volume: 18.00 Å³/atom
* polymorph energy (0 for the lowest one): 0.498 eV per atom



No. 21
# TlMoAs2

TlMoAs2 after structural relaxation (GGA-PBE, the Alexandria database).

a b c (Å): 6.3604 6.3604 12.0199
angles (deg): 90.00 90.00 90.00
Space group I-42d (No. 122)
Asymmetric unit:
Tl 0.0000 0.0000 0.0000 x4
Mo 0.0000 0.0000 0.5000 x4
As 0.1533 0.2500 0.6250 x8

* total moment: 0.000 μB/atom
* calculated volume: 30.39 Å³/atom
* polymorph energy (0 for the lowest one): 0.329 eV per atom



No. 22
# TlMo2As

TlMo2As after structural relaxation (GGA-PBE, the Alexandria database).

a b c (Å): 3.2818 5.1423 8.5865
angles (deg): 90.00 90.00 90.00
Space group Cmmm (No. 65)
Asymmetric unit:
Tl 0.0000 0.0000 0.0000 x2
Mo 0.0000 0.5000 0.2814 x4
As 0.0000 0.0000 0.5000 x2

* total moment: 0.000 μB/atom
* calculated volume: 18.11 Å³/atom
* polymorph energy (0 for the lowest one): 0.327 eV per atom



No. 23
# TlMoAs2

TlMoAs2 after structural relaxation (GGA-PBE, the Alexandria database).

a b c (Å): 5.7854 7.8356 3.4879
angles (deg): 90.00 90.00 90.00
Space group Cmmm (No. 65)
Asymmetric unit:
Tl 0.0000 0.0000 0.0000 x2
Mo 0.0000 0.5000 0.0000 x2
As 0.2500 0.2500 0.5000 x4

* total moment: 0.371 μB/atom
* calculated volume: 19.76 Å³/atom
* polymorph energy (0 for the lowest one): 0.635 eV per atom



No. 24
# TlMoAs2

TlMoAs2 after structural relaxation (GGA-PBE, the Alexandria database).

a b c (Å): 3.2133 3.2145 7.9186
angles (deg): 90.00 90.58 90.00
Space group P2/m (No. 10)
Asymmetric unit:
Tl 0.0000 0.0000 0.0000 x1
Mo 0.0000 0.0000 0.5000 x1
As 0.4959 0.5000 0.3181 x2

* total moment: 0.000 μB/atom
* calculated volume: 20.45 Å³/atom
* polymorph energy (0 for the lowest one): 0.000 eV per atom



No. 25
# TlMoAs

TlMoAs after structural relaxation (GGA-PBE, the Alexandria database).

a b c (Å): 3.3497 3.3497 10.4638
angles (deg): 90.00 90.00 90.00
Space group I4mm (No. 107)
Asymmetric unit:
Tl 0.0000 0.0000 0.0000 x2
Mo 0.0000 0.0000 0.3031 x2
As 0.0000 0.0000 0.7046 x2

* total moment: 0.098 μB/atom
* calculated volume: 19.57 Å³/atom
* polymorph energy (0 for the lowest one): 0.229 eV per atom



No. 26
# TlMoAs2

TlMoAs2 after structural relaxation (GGA-PBE, the Alexandria database).

a b c (Å): 3.0601 5.0674 11.1923
angles (deg): 90.00 90.00 90.00
Space group Immm (No. 71)
Asymmetric unit:
Tl 0.0000 0.0000 0.0000 x2
Mo 0.0000 0.0000 0.5000 x2
As 0.0000 0.5000 0.1851 x4

* total moment: 0.000 μB/atom
* calculated volume: 21.69 Å³/atom
* polymorph energy (0 for the lowest one): 0.378 eV per atom



No. 27
# TlMoAs2

TlMoAs2 after structural relaxation (GGA-PBE, the Alexandria database).

a b c (Å): 4.1314 4.1314 4.7837
angles (deg): 90.00 90.00 90.00
Space group P4/mmm (No. 123)
Asymmetric unit:
Tl 0.0000 0.0000 0.0000 x1
Mo 0.5000 0.5000 0.0000 x1
As 0.0000 0.5000 0.5000 x2

* total moment: 0.644 μB/atom
* calculated volume: 20.41 Å³/atom
* polymorph energy (0 for the lowest one): 0.763 eV per atom



No. 28
# TlMoAs2

TlMoAs2 after structural relaxation (GGA-PBE, the Alexandria database).

a b c (Å): 3.5412 5.0232 9.8003
angles (deg): 90.00 90.00 90.00
Space group Cmmm (No. 65)
Asymmetric unit:
Tl 0.0000 0.0000 0.0000 x2
Mo 0.0000 0.0000 0.5000 x2
As 0.0000 0.5000 0.3119 x4

* total moment: 0.000 μB/atom
* calculated volume: 21.79 Å³/atom
* polymorph energy (0 for the lowest one): 0.216 eV per atom



No. 29
# TlMoAs2

TlMoAs2 after structural relaxation (GGA-PBE, the Alexandria database).

a b c (Å): 3.2407 3.2407 28.7289
angles (deg): 90.00 90.00 120.00
Space group R-3m (No. 166, hexagonal axes)
Asymmetric unit:
Tl 0.0000 0.0000 0.0000 x3
Mo 0.0000 0.0000 0.5000 x3
As 0.0000 0.0000 0.2290 x6

* total moment: 0.000 μB/atom
* calculated volume: 21.77 Å³/atom
* polymorph energy (0 for the lowest one): 0.004 eV per atom



No. 30
# TlMoAs

TlMoAs after structural relaxation (GGA-PBE, the Alexandria database).

a b c (Å): 3.2362 3.2362 6.7241
angles (deg): 90.00 90.00 120.00
Space group P3m1 (No. 156)
Asymmetric unit:
Tl 0.0000 0.0000 0.0000 x1
Mo 0.6667 0.3333 0.6481 x1
As 0.3333 0.6667 0.3980 x1

* total moment: 0.000 μB/atom
* calculated volume: 20.33 Å³/atom
* polymorph energy (0 for the lowest one): 0.201 eV per atom